CeGa6I12: relaxed, PBE-GGA.

Unit cell a=9.880 b=9.880 c=9.880 alpha=69.83 beta=69.83 gamma=69.83
Atoms (fractional coordinates):
1 Ce 0.000 0.000 0.000
2 Ga 0.120 0.314 0.436
3 Ga 0.314 0.436 0.120
4 Ga 0.436 0.120 0.314
5 Ga 0.564 0.880 0.686
6 Ga 0.686 0.564 0.880
7 Ga 0.880 0.686 0.564
8 I 0.032 0.901 0.320
9 I 0.099 0.680 0.968
10 I 0.159 0.482 0.593
11 I 0.320 0.032 0.901
12 I 0.407 0.841 0.518
13 I 0.482 0.593 0.159
14 I 0.518 0.407 0.841
15 I 0.593 0.159 0.482
16 I 0.680 0.968 0.099
17 I 0.841 0.518 0.407
18 I 0.901 0.320 0.032
19 I 0.968 0.099 0.680

Output
Formation energy (no corrections) ... -0.48 eV per atom
Fermi-level density of states ... 14.3 states/eV per cell
Size of the total moment ... 0.38 μB/cell


Y2ReAs: relaxed, PBE-GGA.

Unit cell a=5.813 b=5.813 c=5.813 alpha=137.95 beta=137.95 gamma=60.98
Atoms (fractional coordinates):
1 Y 0.000 0.000 0.000
2 Y 0.750 0.250 0.500
3 Re 0.500 0.500 0.000
4 As 0.250 0.750 0.500

Output
DFT formation energy ... -48 meV per atom
Fermi-level density of states ... 3.8 states/eV per cell
Size of the total moment ... 1.48 μB/cell


Cs2CuOsS4: relaxed, PBE-GGA.

Unit cell a=14.136 b=12.679 c=7.514 alpha=84.76 beta=63.28 gamma=31.96
Atoms (fractional coordinates):
1 Cs 0.052 0.052 0.698
2 Cs 0.302 0.302 0.948
3 Cs 0.698 0.698 0.052
4 Cs 0.948 0.948 0.302
5 Cu 0.125 0.125 0.125
6 Cu 0.875 0.875 0.875
7 Os 0.375 0.375 0.375
8 Os 0.625 0.625 0.625
9 S 0.003 0.345 0.424
10 S 0.273 0.576 0.655
11 S 0.345 0.003 0.727
12 S 0.424 0.727 0.003
13 S 0.576 0.273 0.997
14 S 0.655 0.997 0.273
15 S 0.727 0.424 0.345
16 S 0.997 0.655 0.576

Output
Formation energy (no corrections) ... -0.58 eV per atom
Fermi-level density of states ... 10.6 states/eV per cell
Size of the total moment ... 1.29 μB/cell


Nd3ThSe6: relaxed, PBE-GGA.

Unit cell a=11.861 b=4.196 c=12.163 alpha=90.00 beta=107.99 gamma=90.00
Atoms (fractional coordinates):
1 Nd 0.078 0.250 0.167
2 Nd 0.179 0.750 0.503
3 Nd 0.339 0.250 0.923
4 Nd 0.661 0.750 0.077
5 Nd 0.821 0.250 0.497
6 Nd 0.922 0.750 0.833
7 Th 0.456 0.250 0.307
8 Th 0.544 0.750 0.693
9 Se 0.018 0.250 0.382
10 Se 0.099 0.250 0.931
11 Se 0.255 0.750 0.281
12 Se 0.314 0.750 0.749
13 Se 0.389 0.250 0.536
14 Se 0.418 0.750 0.104
15 Se 0.582 0.250 0.896
16 Se 0.611 0.750 0.464
17 Se 0.686 0.250 0.251
18 Se 0.745 0.250 0.719
19 Se 0.901 0.750 0.069
20 Se 0.982 0.750 0.618

Output
Formation energy (no corrections) ... -1.83 eV per atom
Energy above the lowest structure with this stoichiometry ... 0 meV per atom
Fermi-level density of states ... 4.1 states/eV per cell
Size of the total moment ... 0.00 μB/cell


YS2Cl: relaxed, PBE-GGA.

Unit cell a=4.856 b=4.856 c=4.856 alpha=60.00 beta=60.00 gamma=60.00
Atoms (fractional coordinates):
1 Y 0.000 0.000 0.000
2 S 0.250 0.250 0.250
3 S 0.750 0.750 0.750
4 Cl 0.500 0.500 0.500

Output
Formation energy (no corrections) ... -0.67 eV per atom
Energy above the lowest structure with this stoichiometry ... 522 meV per atom
Fermi-level density of states ... 6.3 states/eV per cell
Size of the total moment ... 0.34 μB/cell


Zr2Cd2Os: relaxed, PBE-GGA.

Unit cell a=7.548 b=7.548 c=7.548 alpha=150.08 beta=150.08 gamma=42.82
Atoms (fractional coordinates):
1 Zr 0.250 0.750 0.500
2 Zr 0.750 0.250 0.500
3 Cd 0.091 0.091 0.000
4 Cd 0.909 0.909 0.000
5 Os 0.500 0.500 0.000

Output
DFT formation energy ... 895 meV per atom
Energy above the lowest structure with this stoichiometry ... 584 meV per atom
Fermi-level density of states ... 3.7 states/eV per cell
Size of the total moment ... 0.00 μB/cell


ZrSc2Ru: relaxed, PBE-GGA.

Unit cell a=6.211 b=6.211 c=6.211 alpha=102.12 beta=102.12 gamma=125.46
Atoms (fractional coordinates):
1 Zr 0.000 0.000 0.000
2 Zr 0.750 0.250 0.500
3 Sc 0.187 0.625 0.062
4 Sc 0.375 0.437 0.562
5 Sc 0.563 0.125 0.938
6 Sc 0.875 0.813 0.438
7 Ru 0.250 0.750 0.500
8 Ru 0.500 0.500 0.000

Output
DFT formation energy ... 63 meV per atom
Energy above the lowest structure with this stoichiometry ... 415 meV per atom
Fermi-level density of states ... 9.3 states/eV per cell
Size of the total moment ... 1.23 μB/cell


Sm2HoPa2Co5: relaxed, PBE-GGA.

Unit cell a=10.579 b=10.579 c=3.470 alpha=90.00 beta=90.00 gamma=90.00
Atoms (fractional coordinates):
1 Sm 0.173 0.327 0.000
2 Sm 0.327 0.827 0.000
3 Sm 0.673 0.173 0.000
4 Sm 0.827 0.673 0.000
5 Ho 0.000 0.000 0.000
6 Ho 0.500 0.500 0.000
7 Pa 0.135 0.635 0.000
8 Pa 0.365 0.135 0.000
9 Pa 0.635 0.865 0.000
10 Pa 0.865 0.365 0.000
11 Co 0.000 0.500 0.500
12 Co 0.042 0.777 0.500
13 Co 0.223 0.042 0.500
14 Co 0.277 0.542 0.500
15 Co 0.458 0.277 0.500
16 Co 0.500 0.000 0.500
17 Co 0.542 0.723 0.500
18 Co 0.723 0.458 0.500
19 Co 0.777 0.958 0.500
20 Co 0.958 0.223 0.500

Output
DFT formation energy ... -117 meV per atom
Fermi-level density of states ... 10.6 states/eV per cell
Size of the total moment ... 0.00 μB/cell


CaZrTe: relaxed, PBE-GGA.

Unit cell a=6.508 b=6.508 c=6.508 alpha=146.63 beta=146.63 gamma=47.91
Atoms (fractional coordinates):
1 Ca 0.000 0.000 0.000
2 Zr 0.306 0.306 0.000
3 Te 0.691 0.691 0.000

Output
Formation energy (no corrections) ... -0.52 eV per atom
Energy above the lowest structure with this stoichiometry ... 0 meV per atom
Fermi-level density of states ... 3.0 states/eV per cell
Size of the total moment ... 0.01 μB/cell


BaV3P: relaxed, PBE-GGA.

Unit cell a=4.785 b=4.785 c=4.785 alpha=90.00 beta=90.00 gamma=90.00
Atoms (fractional coordinates):
1 Ba 0.000 0.000 0.000
2 V 0.000 0.000 0.500
3 V 0.000 0.500 0.000
4 V 0.500 0.000 0.000
5 P 0.500 0.500 0.500

Output
DFT formation energy ... 2597 meV per atom
Energy above the lowest structure with this stoichiometry ... 2050 meV per atom
Fermi-level density of states ... 6.9 states/eV per cell
Size of the total moment ... 0.00 μB/cell


KPtW2: relaxed, PBE-GGA.

Unit cell a=3.881 b=3.881 c=4.945 alpha=90.00 beta=90.00 gamma=90.00
Atoms (fractional coordinates):
1 K 0.000 0.000 0.000
2 Pt 0.500 0.500 0.000
3 W 0.000 0.500 0.500
4 W 0.500 0.000 0.500

Output
DFT formation energy ... 1419 meV per atom
Energy above the lowest structure with this stoichiometry ... 906 meV per atom
Fermi-level density of states ... 4.3 states/eV per cell
Size of the total moment ... 0.00 μB/cell


TaAlZn2: relaxed, PBE-GGA.

Unit cell a=5.669 b=5.669 c=5.669 alpha=103.09 beta=103.09 gamma=123.16
Atoms (fractional coordinates):
1 Ta 0.000 0.000 0.000
2 Ta 0.750 0.250 0.500
3 Al 0.250 0.750 0.500
4 Al 0.500 0.500 0.000
5 Zn 0.146 0.125 0.521
6 Zn 0.375 0.854 0.979
7 Zn 0.604 0.625 0.479
8 Zn 0.875 0.396 0.021

Output
DFT formation energy ... 303 meV per atom
Fermi-level density of states ... 2.5 states/eV per cell
Size of the total moment ... 0.00 μB/cell


LaPmCuGe: relaxed, PBE-GGA.

Unit cell a=5.181 b=5.181 c=5.181 alpha=60.00 beta=60.00 gamma=60.00
Atoms (fractional coordinates):
1 La 0.000 0.000 0.000
2 Pm 0.500 0.500 0.500
3 Cu 0.750 0.750 0.750
4 Ge 0.250 0.250 0.250

Output
DFT formation energy ... -463 meV per atom
Fermi-level density of states ... 4.1 states/eV per cell
Size of the total moment ... 0.00 μB/cell


LiAgPtBr6: relaxed, PBE-GGA.

Unit cell a=6.694 b=6.694 c=12.375 alpha=90.00 beta=90.00 gamma=120.00
Atoms (fractional coordinates):
1 Li 0.333 0.667 0.250
2 Li 0.667 0.333 0.750
3 Ag 0.000 0.000 0.000
4 Ag 0.000 0.000 0.500
5 Pt 0.333 0.667 0.750
6 Pt 0.667 0.333 0.250
7 Br 0.021 0.366 0.632
8 Br 0.021 0.655 0.868
9 Br 0.345 0.366 0.868
10 Br 0.345 0.979 0.632
11 Br 0.366 0.021 0.132
12 Br 0.366 0.345 0.368
13 Br 0.634 0.655 0.632
14 Br 0.634 0.979 0.868
15 Br 0.655 0.021 0.368
16 Br 0.655 0.634 0.132
17 Br 0.979 0.345 0.132
18 Br 0.979 0.634 0.368

Output
Formation energy (no corrections) ... -0.54 eV per atom
Size of the total moment ... 0.00 μB/cell


Sr2ErCu3O6: relaxed, PBE-GGA.

Unit cell a=3.803 b=3.803 c=11.653 alpha=90.00 beta=90.00 gamma=90.00
Atoms (fractional coordinates):
1 Sr 0.000 0.000 0.198
2 Sr 0.000 0.000 0.802
3 Er 0.000 0.000 0.500
4 Cu 0.500 0.500 0.000
5 Cu 0.500 0.500 0.358
6 Cu 0.500 0.500 0.642
7 O 0.000 0.500 0.377
8 O 0.000 0.500 0.623
9 O 0.500 0.000 0.377
10 O 0.500 0.000 0.623
11 O 0.500 0.500 0.156
12 O 0.500 0.500 0.844

Output
Formation energy (no corrections) ... -1.91 eV per atom
Fermi-level density of states ... 2.1 states/eV per cell
Size of the total moment ... 0.00 μB/cell


MnCuCl: relaxed, PBE-GGA.

Unit cell a=6.363 b=6.363 c=6.363 alpha=152.26 beta=152.26 gamma=39.63
Atoms (fractional coordinates):
1 Mn 0.000 0.000 0.000
2 Cu 0.373 0.373 0.000
3 Cl 0.628 0.628 0.000

Output
Formation energy (no corrections) ... 0.08 eV per atom
Energy above the lowest structure with this stoichiometry ... 68 meV per atom
Fermi-level density of states ... 1.3 states/eV per cell
Size of the total moment ... 4.44 μB/cell


AlGaGe: relaxed, PBE-GGA.

Unit cell a=6.456 b=6.346 c=3.028 alpha=78.33 beta=74.32 gamma=27.35
Atoms (fractional coordinates):
1 Al 0.000 0.000 0.000
2 Ga 0.663 0.663 0.337
3 Ge 0.341 0.341 0.659

Output
DFT formation energy ... 128 meV per atom
Energy above the lowest structure with this stoichiometry ... 50 meV per atom
Fermi-level density of states ... 1.1 states/eV per cell
Size of the total moment ... 0.00 μB/cell


ThInCo2: relaxed, PBE-GGA.

Unit cell a=6.237 b=6.237 c=6.237 alpha=41.34 beta=41.34 gamma=41.34
Atoms (fractional coordinates):
1 Th 0.000 0.000 0.000
2 In 0.500 0.500 0.500
3 Co 0.355 0.355 0.355
4 Co 0.645 0.645 0.645

Output
DFT formation energy ... 189 meV per atom
Fermi-level density of states ... 3.5 states/eV per cell
Size of the total moment ... 0.00 μB/cell


MnBeAg2Pb: relaxed, PBE-GGA.

Unit cell a=4.547 b=4.547 c=4.855 alpha=90.00 beta=90.00 gamma=90.00
Atoms (fractional coordinates):
1 Mn 0.000 0.000 0.000
2 Be 0.500 0.500 0.500
3 Ag 0.000 0.500 0.500
4 Ag 0.500 0.000 0.500
5 Pb 0.500 0.500 0.000

Output
DFT formation energy ... 603 meV per atom
Fermi-level density of states ... 1.9 states/eV per cell
Size of the total moment ... 4.36 μB/cell


MoC2: relaxed, PBE-GGA.

Unit cell a=2.901 b=2.901 c=6.392 alpha=90.00 beta=90.00 gamma=90.00
Atoms (fractional coordinates):
1 Mo 0.250 0.250 0.237
2 Mo 0.750 0.750 0.763
3 C 0.250 0.250 0.886
4 C 0.250 0.750 0.500
5 C 0.750 0.250 0.500
6 C 0.750 0.750 0.114

Output
DFT formation energy ... 885 meV per atom
Energy above the lowest structure with this stoichiometry ... 366 meV per atom
Fermi-level density of states ... 1.6 states/eV per cell
Size of the total moment ... 0.00 μB/cell